No. 1
Here is a relaxed Tc2HgW crystal from Alexandria. Energies are from PBE-GGA.

abc: 3.2552 4.4453 9.0712
angles: 90.00 90.00 90.00
Sites, in units of the cell vectors:
Tc  0.0000  0.0000  0.0000
Tc  0.0000  0.5000  0.2542
Tc  0.5000  0.0000  0.7542
Tc  0.5000  0.5000  0.5000
Hg  0.0000  0.0000  0.4883
Hg  0.5000  0.5000  0.9883
W  0.0000  0.5000  0.7241
W  0.5000  0.0000  0.2241

- calculated formation energy (eV per atom) = 0.543
- calculated volume (Å³/f.u.) = 66

---

No. 2
Here is a relaxed MnSiP2 crystal from Alexandria. Energies are from PBE-GGA.

abc: 3.4430 3.4430 5.0283
angles: 90.00 90.00 90.00
Sites, in units of the cell vectors:
Mn  0.0000  0.0000  0.0000
Si  0.5000  0.5000  0.5401
P  0.0000  0.0000  0.4925
P  0.5000  0.5000  0.0073

- formation energy without anion corrections (eV per atom) = -0.07
- calculated volume (Å³/f.u.) = 60

---

No. 3
Here is a relaxed LiCuSb4 crystal from Alexandria. Energies are from PBE-GGA.

abc: 6.1999 6.1999 6.1999
angles: 60.00 60.00 60.00
Sites, in units of the cell vectors:
Li  0.0000  0.0000  0.0000
Cu  0.2500  0.2500  0.2500
Sb  0.1298  0.6234  0.6234
Sb  0.6234  0.1298  0.6234
Sb  0.6234  0.6234  0.1298
Sb  0.6234  0.6234  0.6234

- formation energy without anion corrections (eV per atom) = 0.36
- calculated volume (Å³/f.u.) = 169

---

No. 4
Here is a relaxed CaPtF4 crystal from Alexandria. Energies are from PBE-GGA.

abc: 5.7460 5.7460 5.6909
angles: 90.00 90.00 90.00
Sites, in units of the cell vectors:
Ca  0.0000  0.0000  0.0000
Ca  0.5000  0.5000  0.5000
Pt  0.0000  0.5000  0.7500
Pt  0.5000  0.0000  0.2500
F  0.2460  0.2540  0.7500
F  0.2460  0.7460  0.7500
F  0.2540  0.2460  0.2500
F  0.2540  0.7540  0.2500
F  0.7460  0.2460  0.2500
F  0.7460  0.7540  0.2500
F  0.7540  0.2540  0.7500
F  0.7540  0.7460  0.7500

- formation energy without anion corrections (eV per atom) = -2.35
- calculated volume (Å³/f.u.) = 94